The following is a DFT calculation (PBE-GGA) of crystalline Sm2CoNi3As4 at its relaxed geometry.

Values from the calculation:
- DFT formation energy: -0.789 eV/atom
- Mass density: 8.384 Mg/m³
- Space group: No. 115

a b c (Å): 4.1608 4.1608 9.5575
angles (deg): 90.00 90.00 90.00
Fractional positions:
Sm1 0.0000 0.5000 0.2483
Sm2 0.5000 0.0000 0.7517
Co1 0.5000 0.5000 0.0000
Ni1 0.0000 0.0000 0.0000
Ni2 0.0000 0.5000 0.6215
Ni3 0.5000 0.0000 0.3785
As1 0.0000 0.0000 0.5000
As2 0.0000 0.5000 0.8693
As3 0.5000 0.0000 0.1307
As4 0.5000 0.5000 0.5000